Density functional theory data (PBE) for an optimized crystal structure of YInBi.

Symmetry: Cmcm, No. 63
Formation energy from the elements: -0.491 eV per atom
V: 28.8 Å³/atom
Crystal system: orthorhombic
Calculated total energy: -4.85 eV per atom

a b c (Å): 6.503 4.700 11.326
angles (deg): 90.00 90.00 90.00
Sites, in units of the cell vectors:
In 0.336 0.250 0.250
In 0.836 0.250 0.250
In 0.336 0.750 0.750
In 0.836 0.750 0.750
Bi 0.586 0.250 0.908
Bi 0.086 0.250 0.592
Bi 0.086 0.750 0.092
Bi 0.586 0.750 0.408
Y 0.586 0.250 0.607
Y 0.586 0.750 0.107
Y 0.086 0.250 0.893
Y 0.086 0.750 0.393